[1]
The following is a DFT calculation (GGA-PBE) of a relaxed Ag6HgSe4 crystal.

Cell: 7.144 7.144 7.144 Å, 122.13 122.13 86.35°
Fractional coordinates of all 11 atoms:
Ag1 0.000 0.500 0.500
Ag2 0.226 0.226 0.702
Ag3 0.476 0.774 0.000
Ag4 0.500 0.000 0.500
Ag5 0.524 0.524 0.298
Ag6 0.774 0.476 0.000
Hg1 0.000 0.000 0.000
Se1 0.111 0.615 0.000
Se2 0.385 0.385 0.496
Se3 0.615 0.111 0.000
Se4 0.889 0.889 0.504

Density in g/cm3: 7.76
Space-group type: I-42m (121)
Formation energy without anion corrections in eV/atom: -0.03

***

[2]
The following is a DFT calculation (GGA-PBE) of a relaxed Sc2ReAg crystal.

Cell: 3.298 3.276 6.960 Å, 90.00 90.04 90.00°
Fractional coordinates of all 4 atoms:
Sc1 0.002 0.000 0.278
Sc2 0.998 0.000 0.722
Re1 0.500 0.500 0.500
Ag1 0.500 0.500 0.000

Density in g/cm3: 8.48
Space-group type: P2/m (10)
ΔH_f (0 K) in eV/atom: -0.205

***

[3]
The following is a DFT calculation (GGA-PBE) of a relaxed TbDy6Ho4 crystal.

Cell: 5.558 5.558 25.464 Å, 90.00 90.00 118.63°
Fractional coordinates of all 22 atoms:
Tb1 0.191 0.809 0.750
Tb2 0.809 0.191 0.250
Dy1 0.139 0.861 0.182
Dy2 0.139 0.861 0.318
Dy3 0.194 0.806 0.604
Dy4 0.194 0.806 0.896
Dy5 0.474 0.526 0.250
Dy6 0.500 0.500 0.000
Dy7 0.500 0.500 0.500
Dy8 0.526 0.474 0.750
Dy9 0.806 0.194 0.104
Dy10 0.806 0.194 0.396
Dy11 0.861 0.139 0.682
Dy12 0.861 0.139 0.818
Ho1 0.155 0.845 0.043
Ho2 0.155 0.845 0.457
Ho3 0.467 0.533 0.121
Ho4 0.467 0.533 0.379
Ho5 0.533 0.467 0.621
Ho6 0.533 0.467 0.879
Ho7 0.845 0.155 0.543
Ho8 0.845 0.155 0.957

Density in g/cm3: 8.63
Space-group type: Cmcm (63)
ΔH_f (0 K) in eV/atom: 0.128
Polymorph energy (0 for the lowest one) in kJ/mol of atoms: 0.0

***

[4]
The following is a DFT calculation (GGA-PBE) of a relaxed CrCd2Sb crystal.

Cell: 4.226 4.226 9.678 Å, 90.00 90.00 90.00°
Fractional coordinates of all 8 atoms:
Cr1 0.000 0.000 0.000
Cr2 0.500 0.500 0.500
Cd1 0.000 0.500 0.250
Cd2 0.000 0.500 0.750
Cd3 0.500 0.000 0.250
Cd4 0.500 0.000 0.750
Sb1 0.000 0.000 0.500
Sb2 0.500 0.500 0.000

Density in g/cm3: 7.66
Space-group type: I4/mmm (139)
Formation energy without anion corrections in eV/atom: 0.25

***

[5]
The following is a DFT calculation (GGA-PBE) of a relaxed YPRuS2 crystal.

Cell: 5.124 5.124 5.296 Å, 90.00 90.00 90.00°
Fractional coordinates of all 5 atoms:
Y1 0.000 0.000 0.000
P1 0.000 0.000 0.500
Ru1 0.500 0.500 0.500
S1 0.000 0.500 0.000
S2 0.500 0.000 0.000

Density in g/cm3: 3.40
Space-group type: P4/mmm (123)
Formation energy without anion corrections in eV/atom: 0.77
Polymorph energy (0 for the lowest one) in kJ/mol of atoms: 112.0

***

[6]
The following is a DFT calculation (GGA-PBE) of a relaxed KGaPS4 crystal.

Cell: 6.937 6.937 9.109 Å, 90.00 90.00 90.00°
Fractional coordinates of all 14 atoms:
K1 0.000 0.000 0.000
K2 0.500 0.500 0.500
Ga1 0.000 0.000 0.500
Ga2 0.500 0.500 0.000
P1 0.000 0.500 0.250
P2 0.500 0.000 0.750
S1 0.142 0.714 0.367
S2 0.214 0.358 0.133
S3 0.286 0.142 0.633
S4 0.358 0.786 0.867
S5 0.642 0.214 0.867
S6 0.714 0.858 0.633
S7 0.786 0.642 0.133
S8 0.858 0.286 0.367

Density in g/cm3: 2.03
Space-group type: I-4 (82)
Formation energy without anion corrections in eV/atom: -0.47

***

[7]
The following is a DFT calculation (GGA-PBE) of a relaxed Sr2CuP crystal.

Cell: 7.355 7.355 7.355 Å, 90.00 90.00 90.00°
Fractional coordinates of all 16 atoms:
Sr1 0.000 0.000 0.000
Sr2 0.000 0.500 0.500
Sr3 0.250 0.250 0.250
Sr4 0.250 0.750 0.750
Sr5 0.500 0.000 0.500
Sr6 0.500 0.500 0.000
Sr7 0.750 0.250 0.750
Sr8 0.750 0.750 0.250
Cu1 0.000 0.000 0.500
Cu2 0.000 0.500 0.000
Cu3 0.500 0.000 0.000
Cu4 0.500 0.500 0.500
P1 0.250 0.250 0.750
P2 0.250 0.750 0.250
P3 0.750 0.250 0.250
P4 0.750 0.750 0.750

Density in g/cm3: 4.50
Space-group type: F-43m (216)
ΔH_f (0 K) in eV/atom: 0.104

***

[8]
The following is a DFT calculation (GGA-PBE) of a relaxed Rb2SnPbCl6 crystal.

Cell: 7.990 7.990 7.990 Å, 60.00 60.00 60.00°
Fractional coordinates of all 10 atoms:
Rb1 0.250 0.250 0.250
Rb2 0.750 0.750 0.750
Sn1 0.000 0.000 0.000
Pb1 0.500 0.500 0.500
Cl1 0.247 0.247 0.753
Cl2 0.247 0.753 0.247
Cl3 0.247 0.753 0.753
Cl4 0.753 0.247 0.247
Cl5 0.753 0.247 0.753
Cl6 0.753 0.753 0.247

Density in g/cm3: 3.27
Space-group type: Fm-3m (225)
Formation energy without anion corrections in eV/atom: -1.43
Polymorph energy (0 for the lowest one) in kJ/mol of atoms: 3.6

***

[9]
The following is a DFT calculation (GGA-PBE) of a relaxed Pr2Nd5Dy2 crystal.

Cell: 8.183 8.183 8.171 Å, 107.55 107.55 36.86°
Fractional coordinates of all 9 atoms:
Pr1 0.167 0.167 0.499
Pr2 0.833 0.833 0.501
Nd1 0.057 0.057 0.834
Nd2 0.388 0.388 0.836
Nd3 0.500 0.500 0.500
Nd4 0.612 0.612 0.164
Nd5 0.943 0.943 0.166
Dy1 0.278 0.278 0.165
Dy2 0.722 0.722 0.835

Density in g/cm3: 7.09
Space-group type: C2/m (12)
ΔH_f (0 K) in eV/atom: 0.015
Polymorph energy (0 for the lowest one) in kJ/mol of atoms: 0.0

***

[10]
The following is a DFT calculation (GGA-PBE) of a relaxed ThMgAlAg crystal.

Cell: 7.161 7.161 7.161 Å, 90.00 90.00 90.00°
Fractional coordinates of all 16 atoms:
Th1 0.000 0.000 0.000
Th2 0.000 0.500 0.500
Th3 0.500 0.000 0.500
Th4 0.500 0.500 0.000
Mg1 0.000 0.000 0.500
Mg2 0.000 0.500 0.000
Mg3 0.500 0.000 0.000
Mg4 0.500 0.500 0.500
Al1 0.250 0.250 0.750
Al2 0.250 0.750 0.250
Al3 0.750 0.250 0.250
Al4 0.750 0.750 0.750
Ag1 0.250 0.250 0.250
Ag2 0.250 0.750 0.750
Ag3 0.750 0.250 0.750
Ag4 0.750 0.750 0.250

Density in g/cm3: 7.08
Space-group type: F-43m (216)
ΔH_f (0 K) in eV/atom: -0.167

***

[11]
The following is a DFT calculation (GGA-PBE) of a relaxed Ta2OsBr crystal.

Cell: 3.180 3.175 7.696 Å, 90.00 101.60 90.00°
Fractional coordinates of all 4 atoms:
Ta1 0.000 0.000 0.000
Ta2 0.379 0.500 0.752
Os1 0.586 0.500 0.177
Br1 0.754 0.000 0.503

Density in g/cm3: 13.79
Space-group type: Pm (6)
Formation energy without anion corrections in eV/atom: 0.24
Polymorph energy (0 for the lowest one) in kJ/mol of atoms: 9.6

***

[12]
The following is a DFT calculation (GGA-PBE) of a relaxed BaNdLu crystal.

Cell: 3.817 3.817 16.258 Å, 90.00 90.00 90.00°
Fractional coordinates of all 6 atoms:
Ba1 0.000 0.000 0.000
Ba2 0.500 0.500 0.500
Nd1 0.000 0.000 0.316
Nd2 0.500 0.500 0.816
Lu1 0.000 0.000 0.680
Lu2 0.500 0.500 0.180

Density in g/cm3: 6.40
Space-group type: I4mm (107)
ΔH_f (0 K) in eV/atom: 0.181

***

[13]
The following is a DFT calculation (GGA-PBE) of a relaxed K2LiUS6 crystal.

Cell: 8.169 8.169 7.164 Å, 108.82 108.82 39.13°
Fractional coordinates of all 10 atoms:
K1 0.240 0.240 0.236
K2 0.760 0.760 0.764
Li1 0.000 0.000 0.500
U1 0.500 0.500 0.000
S1 0.121 0.713 0.178
S2 0.287 0.879 0.822
S3 0.361 0.361 0.703
S4 0.639 0.639 0.297
S5 0.713 0.121 0.178
S6 0.879 0.287 0.822

Density in g/cm3: 3.02
Space-group type: C2/m (12)
Formation energy without anion corrections in eV/atom: -0.93

***

[14]
The following is a DFT calculation (GGA-PBE) of a relaxed NaMn3H crystal.

Cell: 5.179 5.179 5.179 Å, 90.00 90.00 90.00°
Fractional coordinates of all 5 atoms:
Na1 0.000 0.000 0.000
Mn1 0.000 0.000 0.500
Mn2 0.000 0.500 0.000
Mn3 0.500 0.000 0.000
H1 0.500 0.500 0.500

Density in g/cm3: 2.26
Space-group type: Pm-3m (221)
Polymorph energy (0 for the lowest one) in kJ/mol of atoms: 147.4

***

[15]
The following is a DFT calculation (GGA-PBE) of a relaxed MnCo4 crystal.

Cell: 3.589 3.589 10.048 Å, 90.00 90.00 90.00°
Fractional coordinates of all 10 atoms:
Mn1 0.000 0.000 0.000
Mn2 0.500 0.500 0.500
Co1 0.000 0.000 0.393
Co2 0.000 0.000 0.607
Co3 0.000 0.500 0.250
Co4 0.000 0.500 0.750
Co5 0.500 0.000 0.250
Co6 0.500 0.000 0.750
Co7 0.500 0.500 0.107
Co8 0.500 0.500 0.893

Density in g/cm3: 7.46
Space-group type: I4/mmm (139)
ΔH_f (0 K) in eV/atom: 0.365
Polymorph energy (0 for the lowest one) in kJ/mol of atoms: 26.9

***

[16]
The following is a DFT calculation (GGA-PBE) of a relaxed Sm2NiGe4Rh3 crystal.

Cell: 4.253 4.253 9.985 Å, 90.00 90.00 90.00°
Fractional coordinates of all 10 atoms:
Sm1 0.000 0.500 0.247
Sm2 0.500 0.000 0.753
Ni1 0.000 0.000 0.500
Ge1 0.000 0.000 0.000
Ge2 0.000 0.500 0.626
Ge3 0.500 0.000 0.374
Ge4 0.500 0.500 0.000
Rh1 0.000 0.500 0.871
Rh2 0.500 0.000 0.129
Rh3 0.500 0.500 0.500

Density in g/cm3: 8.81
Space-group type: P-4m2 (115)
ΔH_f (0 K) in eV/atom: -0.788

***

[17]
The following is a DFT calculation (GGA-PBE) of a relaxed Sm2Pu2O7 crystal.

Cell: 7.741 7.741 7.741 Å, 60.00 60.00 60.00°
Fractional coordinates of all 22 atoms:
Sm1 0.000 0.000 0.000
Sm2 0.000 0.000 0.500
Sm3 0.000 0.500 0.000
Sm4 0.500 0.000 0.000
Pu1 0.000 0.500 0.500
Pu2 0.500 0.000 0.500
Pu3 0.500 0.500 0.000
Pu4 0.500 0.500 0.500
O1 0.125 0.125 0.125
O2 0.153 0.153 0.597
O3 0.153 0.597 0.153
O4 0.153 0.597 0.597
O5 0.403 0.403 0.847
O6 0.403 0.847 0.403
O7 0.403 0.847 0.847
O8 0.597 0.153 0.153
O9 0.597 0.153 0.597
O10 0.597 0.597 0.153
O11 0.847 0.403 0.403
O12 0.847 0.403 0.847
O13 0.847 0.847 0.403
O14 0.875 0.875 0.875

Density in g/cm3: 9.12
Space-group type: Fd-3m (227)
Formation energy without anion corrections in eV/atom: -3.23

***

[18]
The following is a DFT calculation (GGA-PBE) of a relaxed ZrMnW2 crystal.

Cell: 2.831 4.370 5.331 Å, 90.00 99.77 90.00°
Fractional coordinates of all 4 atoms:
Zr1 0.000 0.000 0.000
Mn1 0.756 0.500 0.251
W1 0.265 0.500 0.722
W2 0.511 0.000 0.489

Density in g/cm3: 13.12
Space-group type: Pm (6)
ΔH_f (0 K) in eV/atom: 0.198
Polymorph energy (0 for the lowest one) in kJ/mol of atoms: 12.7

***

[19]
The following is a DFT calculation (GGA-PBE) of a relaxed Ti2Zn2Pd crystal.

Cell: 6.643 6.643 3.557 Å, 90.00 90.00 90.00°
Fractional coordinates of all 10 atoms:
Ti1 0.168 0.332 0.000
Ti2 0.332 0.832 0.000
Ti3 0.668 0.168 0.000
Ti4 0.832 0.668 0.000
Zn1 0.132 0.632 0.500
Zn2 0.368 0.132 0.500
Zn3 0.632 0.868 0.500
Zn4 0.868 0.368 0.500
Pd1 0.000 0.000 0.500
Pd2 0.500 0.500 0.500

Density in g/cm3: 7.05
Space-group type: P4/mbm (127)
ΔH_f (0 K) in eV/atom: -0.245
Polymorph energy (0 for the lowest one) in kJ/mol of atoms: 4.4

***

[20]
The following is a DFT calculation (GGA-PBE) of a relaxed Rb2NbHBr6 crystal.

Cell: 7.721 7.721 7.721 Å, 60.00 60.00 60.00°
Fractional coordinates of all 10 atoms:
Rb1 0.250 0.250 0.250
Rb2 0.750 0.750 0.750
Nb1 0.000 0.000 0.000
H1 0.500 0.500 0.500
Br1 0.238 0.238 0.762
Br2 0.238 0.762 0.238
Br3 0.238 0.762 0.762
Br4 0.762 0.238 0.238
Br5 0.762 0.238 0.762
Br6 0.762 0.762 0.238

Density in g/cm3: 3.80
VASP energy in eV per atom: -3.474
Space-group type: Fm-3m (225)